[1]
# GGA-PBEsol AlZn2Ag, relaxed
data_AlZn2Ag
_space_group_name_H-M_alt 'P 4/m m m'
_space_group_IT_number 123
_space_group_name_Hall '-P 4 2'
_cell_length_a 3.353
_cell_length_b 3.353
_cell_length_c 5.406
_cell_angle_alpha 90.00
_cell_angle_beta 90.00
_cell_angle_gamma 90.00
loop_
_atom_site_label
_atom_site_type_symbol
_atom_site_fract_x
_atom_site_fract_y
_atom_site_fract_z
Al1 Al 0.000 0.000 0.000
Zn1 Zn 0.500 0.500 0.246
Ag1 Ag 0.000 0.000 0.500
# * E_form: -0.02 eV per atom
# * electronic total energy: -2.66 eV per atom
# * crystal system: tetragonal
# * ρ: 7.26 g/cm³


[2]
# GGA-PBEsol AlZnAg, relaxed
data_AlZnAg
_space_group_name_H-M_alt 'I 4 m m'
_space_group_IT_number 107
_space_group_name_Hall 'I 4 -2'
_cell_length_a 2.795
_cell_length_b 2.795
_cell_length_c 11.934
_cell_angle_alpha 90.00
_cell_angle_beta 90.00
_cell_angle_gamma 90.00
loop_
_atom_site_label
_atom_site_type_symbol
_atom_site_fract_x
_atom_site_fract_y
_atom_site_fract_z
Al1 Al 0.000 0.000 0.000
Zn1 Zn 0.000 0.000 0.661
Ag1 Ag 0.000 0.000 0.330
# * E_form: -0.02 eV per atom
# * electronic total energy: -3.01 eV per atom
# * crystal system: tetragonal
# * ρ: 7.13 g/cm³
# * E above lowest polymorph: 28 meV/atom


[3]
# GGA-PBEsol AlZn2Ag, relaxed
data_AlZn2Ag
_space_group_name_H-M_alt 'I -4 m 2'
_space_group_IT_number 119
_space_group_name_Hall 'I -4 -2'
_cell_length_a 3.919
_cell_length_b 3.919
_cell_length_c 7.898
_cell_angle_alpha 90.00
_cell_angle_beta 90.00
_cell_angle_gamma 90.00
loop_
_atom_site_label
_atom_site_type_symbol
_atom_site_fract_x
_atom_site_fract_y
_atom_site_fract_z
Al1 Al 0.000 0.000 0.000
Zn1 Zn 0.000 0.000 0.500
Zn2 Zn 0.000 0.500 0.250
Ag1 Ag 0.000 0.500 0.750
# * E_form: 0.00 eV per atom
# * electronic total energy: -2.65 eV per atom
# * crystal system: tetragonal
# * ρ: 7.27 g/cm³


[4]
# GGA-PBEsol AlZnAg2, relaxed
data_AlZnAg2
_space_group_name_H-M_alt 'P m m m'
_space_group_IT_number 47
_cell_length_a 3.124
_cell_length_b 4.348
_cell_length_c 4.608
_cell_angle_alpha 90.00
_cell_angle_beta 90.00
_cell_angle_gamma 90.00
loop_
_space_group_symop_operation_xyz
'x,y,z'
'-x,-y,-z'
'-x,-y,z'
'x,y,-z'
'x,-y,-z'
'-x,y,z'
'-x,y,-z'
'x,-y,z'
loop_
_atom_site_label
_atom_site_type_symbol
_atom_site_fract_x
_atom_site_fract_y
_atom_site_fract_z
Al1 Al 0.000 0.000 0.000
Zn1 Zn 0.500 0.000 0.500
Ag1 Ag 0.000 0.500 0.500
Ag2 Ag 0.500 0.500 0.000
# * E_form: -0.03 eV per atom
# * electronic total energy: -3.10 eV per atom
# * crystal system: orthorhombic
# * ρ: 8.18 g/cm³


Q: Number 2 is which compound?
A: AlZnAg


Copy entry 1 word for word.
# GGA-PBEsol AlZn2Ag, relaxed
data_AlZn2Ag
_space_group_name_H-M_alt 'P 4/m m m'
_space_group_IT_number 123
_space_group_name_Hall '-P 4 2'
_cell_length_a 3.353
_cell_length_b 3.353
_cell_length_c 5.406
_cell_angle_alpha 90.00
_cell_angle_beta 90.00
_cell_angle_gamma 90.00
loop_
_atom_site_label
_atom_site_type_symbol
_atom_site_fract_x
_atom_site_fract_y
_atom_site_fract_z
Al1 Al 0.000 0.000 0.000
Zn1 Zn 0.500 0.500 0.246
Ag1 Ag 0.000 0.000 0.500
# * E_form: -0.02 eV per atom
# * electronic total energy: -2.66 eV per atom
# * crystal system: tetragonal
# * ρ: 7.26 g/cm³